No. 1
Here is a relaxed structure of PrPBrO4 from Alexandria via LeMat-Bulk. Energies are from PBE.

Unit cell a=6.556 b=6.556 c=6.800 alpha=81.38 beta=81.38 gamma=58.71
Atoms (fractional coordinates):
Pr  0.299  0.299  0.813
Pr  0.701  0.701  0.187
P  0.637  0.637  0.746
P  0.363  0.363  0.254
Br  0.020  0.020  0.329
Br  0.980  0.980  0.671
O  0.300  0.300  0.471
O  0.700  0.700  0.529
O  0.131  0.513  0.136
O  0.498  0.498  0.237
O  0.487  0.869  0.864
O  0.513  0.131  0.136
O  0.502  0.502  0.763
O  0.869  0.487  0.864

Values from the calculation:
As for the symmetry: C2/m. The calculation puts the uncorrected formation energy at -2.4238 eV per atom.

No. 2
Here is a relaxed structure of Ba4Bi5Au2 from Alexandria via LeMat-Bulk. Energies are from PBE.

Unit cell a=5.011 b=8.299 c=9.784 alpha=89.26 beta=90.00 gamma=90.00
Atoms (fractional coordinates):
Ba  0.500  0.750  0.612
Ba  0.500  0.228  0.867
Ba  0.500  0.250  0.388
Ba  0.500  0.772  0.133
Bi  0.000  0.570  0.344
Bi  0.000  0.113  0.128
Bi  0.000  0.500  0.000
Bi  0.000  0.887  0.872
Bi  0.000  0.430  0.656
Au  0.000  0.086  0.619
Au  0.000  0.914  0.381

Values from the calculation:
The value obtained for the formation energy is -7.95 eV/f.u. As for the symmetry: P2/m.

No. 3
Here is a relaxed structure of La4ScTl3 from Alexandria via LeMat-Bulk. Energies are from PBE.

Unit cell a=5.730 b=5.730 c=8.681 alpha=109.27 beta=109.27 gamma=90.00
Last column: magnetic moment on the atom in μB.
Atoms (fractional coordinates):
Sc  0.500  0.000  0.000  0.39
Tl  0.000  0.500  0.000  -0.01
Tl  0.744  0.244  0.488  0.00
Tl  0.256  0.756  0.512  0.00
La  0.376  0.376  0.752  0.10
La  0.624  0.624  0.248  0.10
La  0.124  0.124  0.248  0.10
La  0.876  0.876  0.752  0.10

Values from the calculation:
The value obtained for the formation energy is -2.06 eV/f.u. As for the symmetry: I4/mmm.

No. 4
Here is a relaxed structure of CeY2Ge from Alexandria via LeMat-Bulk. Energies are from PBE.

Unit cell a=3.616 b=3.616 c=10.260 alpha=79.85 beta=79.85 gamma=60.00
Last column: magnetic moment on the atom in μB.
Atoms (fractional coordinates):
Y  0.264  0.264  0.207  0.05
Y  0.736  0.736  0.793  0.05
Ge  0.000  0.000  0.000  0.01
Ce  0.500  0.500  0.500  0.85

Values from the calculation:
The value obtained for the relative energy among the computed polymorphs is 0.131 eV per atom. The value obtained for the formation energy is -0.73 eV/f.u. As for the symmetry: R-3m.

| no. | magnetic moment (μB per cell) |
| --- | --- |
| 1 | 0.0 |
| 2 | 0.0 |
| 3 | 1.5 |
| 4 | 1.3 |